(1)
VASP calculation (GGA-PBEsol) on a relaxed Ca3Mg2Cu7 crystal.

a b c (Å): 8.8847 8.8847 8.8847
angles (deg): 34.80 34.80 34.80
Atoms (fractional coordinates):
Ca (0.0000, 0.0000, 0.0000)
Ca (0.1406, 0.1406, 0.1406)
Ca (0.8594, 0.8594, 0.8594)
Mg (0.3321, 0.3321, 0.3321)
Mg (0.6679, 0.6679, 0.6679)
Cu (0.0894, 0.5845, 0.5845)
Cu (0.4155, 0.4155, 0.9106)
Cu (0.4155, 0.9106, 0.4155)
Cu (0.5000, 0.5000, 0.5000)
Cu (0.5845, 0.0894, 0.5845)
Cu (0.5845, 0.5845, 0.0894)
Cu (0.9106, 0.4155, 0.4155)

energy relative to the elements: -75 kJ/mol of formula units
SG: R-3m, No. 166
calculated volume: 16.995 Å³ per atom
DOS at the Fermi energy: 6.556 states/eV/cell

(2)
VASP calculation (GGA-PBEsol) on a relaxed CaMg2Cu2 crystal.

a b c (Å): 6.4876 6.4876 6.4876
angles (deg): 142.74 142.74 53.72
Atoms (fractional coordinates):
Ca (0.0000, 0.0000, 0.0000)
Mg (0.2500, 0.7500, 0.5000)
Mg (0.7500, 0.2500, 0.5000)
Cu (0.3979, 0.3979, 0.0000)
Cu (0.6021, 0.6021, 0.0000)

energy relative to the elements: -28 kJ/mol of formula units
excess energy over the best structure of this formula in the dataset: 1.7 kJ per mole of atoms
SG: I4/mmm, No. 139
calculated volume: 19.889 Å³ per atom
DOS at the Fermi energy: 2.150 states/eV/cell

(3)
VASP calculation (GGA-PBEsol) on a relaxed Ca2Mg3Cu4 crystal.

a b c (Å): 7.8759 7.8759 5.4666
angles (deg): 98.51 98.51 30.94
Atoms (fractional coordinates):
Ca (0.1661, 0.1661, 0.0841)
Ca (0.8339, 0.8339, 0.9159)
Mg (0.3946, 0.3946, 0.4500)
Mg (0.5000, 0.5000, 0.0000)
Mg (0.6054, 0.6054, 0.5500)
Cu (0.0033, 0.0033, 0.7173)
Cu (0.2301, 0.2301, 0.5959)
Cu (0.7699, 0.7699, 0.4041)
Cu (0.9967, 0.9967, 0.2827)

energy relative to the elements: -55 kJ/mol of formula units
SG: C2/m, No. 12
calculated volume: 19.141 Å³ per atom
DOS at the Fermi energy: 3.543 states/eV/cell

(4)
VASP calculation (GGA-PBEsol) on a relaxed Ca2MgCu2 crystal.

a b c (Å): 5.6049 5.6049 7.5882
angles (deg): 90.00 90.00 77.08
Atoms (fractional coordinates):
Ca (0.2022, 0.2022, 0.0000)
Ca (0.2022, 0.2022, 0.5000)
Ca (0.7978, 0.7978, 0.0000)
Ca (0.7978, 0.7978, 0.5000)
Mg (0.3211, 0.6789, 0.7500)
Mg (0.6789, 0.3211, 0.2500)
Cu (0.3360, 0.6640, 0.0938)
Cu (0.3360, 0.6640, 0.4062)
Cu (0.6640, 0.3360, 0.5938)
Cu (0.6640, 0.3360, 0.9062)

energy relative to the elements: -3 kJ/mol of formula units
SG: Cmcm, No. 63
calculated volume: 23.235 Å³ per atom
DOS at the Fermi energy: 6.259 states/eV/cell

(5)
VASP calculation (GGA-PBEsol) on a relaxed CaMg2Cu crystal.

a b c (Å): 5.8579 5.8579 5.8579
angles (deg): 45.45 45.45 45.45
Atoms (fractional coordinates):
Ca (0.0000, 0.0000, 0.0000)
Mg (0.2098, 0.2098, 0.2098)
Mg (0.7902, 0.7902, 0.7902)
Cu (0.5000, 0.5000, 0.5000)

energy relative to the elements: 27 kJ/mol of formula units
SG: R-3m, No. 166
calculated volume: 23.255 Å³ per atom
DOS at the Fermi energy: 2.420 states/eV/cell

(6)
VASP calculation (GGA-PBEsol) on a relaxed Ca2MgCu crystal.

a b c (Å): 5.1108 5.1108 3.8730
angles (deg): 90.00 90.00 90.00
Atoms (fractional coordinates):
Ca (0.0000, 0.5000, 0.0000)
Ca (0.5000, 0.0000, 0.0000)
Mg (0.0000, 0.0000, 0.5000)
Cu (0.5000, 0.5000, 0.5000)

energy relative to the elements: 16 kJ/mol of formula units
SG: P4/mmm, No. 123
calculated volume: 25.291 Å³ per atom
DOS at the Fermi energy: 3.594 states/eV/cell

(7)
VASP calculation (GGA-PBEsol) on a relaxed CaMgCu crystal.

a b c (Å): 4.1864 4.1864 7.6325
angles (deg): 90.00 90.00 90.00
Atoms (fractional coordinates):
Ca (0.2500, 0.2500, 0.1462)
Ca (0.7500, 0.7500, 0.8538)
Mg (0.2500, 0.7500, 0.5000)
Mg (0.7500, 0.2500, 0.5000)
Cu (0.2500, 0.2500, 0.7302)
Cu (0.7500, 0.7500, 0.2698)

energy relative to the elements: -21 kJ/mol of formula units
SG: P4/nmm, No. 129
calculated volume: 22.295 Å³ per atom
DOS at the Fermi energy: 4.196 states/eV/cell

(8)
VASP calculation (GGA-PBEsol) on a relaxed Ca3Mg2Cu crystal.

a b c (Å): 7.2866 7.2866 6.3575
angles (deg): 90.00 90.00 100.97
Atoms (fractional coordinates):
Ca (0.0481, 0.5893, 0.2500)
Ca (0.0825, 0.9175, 0.7500)
Ca (0.4107, 0.9519, 0.2500)
Ca (0.5893, 0.0481, 0.7500)
Ca (0.9175, 0.0825, 0.2500)
Ca (0.9519, 0.4107, 0.7500)
Mg (0.3407, 0.3407, 0.0000)
Mg (0.3407, 0.3407, 0.5000)
Mg (0.6593, 0.6593, 0.0000)
Mg (0.6593, 0.6593, 0.5000)
Cu (0.3458, 0.6542, 0.7500)
Cu (0.6542, 0.3458, 0.2500)

energy relative to the elements: -1 kJ/mol of formula units
SG: Cmcm, No. 63
calculated volume: 27.615 Å³ per atom
DOS at the Fermi energy: 9.040 states/eV/cell

(9)
VASP calculation (GGA-PBEsol) on a relaxed CaMg2Cu crystal.

a b c (Å): 4.6840 4.6840 5.6311
angles (deg): 114.63 114.63 58.66
Atoms (fractional coordinates):
Ca (0.0000, 0.0000, 0.0000)
Mg (0.5398, 0.5398, 0.6033)
Mg (0.7916, 0.7916, 0.3644)
Cu (0.2062, 0.2062, 0.5962)

energy relative to the elements: 5 kJ/mol of formula units
SG: Cm, No. 8
calculated volume: 23.171 Å³ per atom
DOS at the Fermi energy: 2.386 states/eV/cell

(10)
VASP calculation (GGA-PBEsol) on a relaxed CaMgCu crystal.

a b c (Å): 6.6206 6.4304 8.2267
angles (deg): 90.00 126.72 90.00
Atoms (fractional coordinates):
Ca (0.2148, 0.1486, 0.4275)
Ca (0.2148, 0.3514, 0.9275)
Ca (0.7852, 0.6486, 0.0725)
Ca (0.7852, 0.8514, 0.5725)
Mg (0.2536, 0.6453, 0.5830)
Mg (0.2536, 0.8547, 0.0830)
Mg (0.7464, 0.1453, 0.9170)
Mg (0.7464, 0.3547, 0.4170)
Cu (0.3439, 0.5524, 0.3234)
Cu (0.3439, 0.9476, 0.8234)
Cu (0.6561, 0.0524, 0.1766)
Cu (0.6561, 0.4476, 0.6766)

energy relative to the elements: -12 kJ/mol of formula units
SG: P2_1/c, No. 14
calculated volume: 23.396 Å³ per atom
DOS at the Fermi energy: 6.428 states/eV/cell

(11)
VASP calculation (GGA-PBEsol) on a relaxed CaMg2Cu crystal.

a b c (Å): 4.9786 4.9786 8.2225
angles (deg): 90.00 90.00 120.00
Atoms (fractional coordinates):
Ca (0.0000, 0.0000, 0.2500)
Ca (0.0000, 0.0000, 0.7500)
Mg (0.3333, 0.6667, 0.0653)
Mg (0.3333, 0.6667, 0.4347)
Mg (0.6667, 0.3333, 0.5653)
Mg (0.6667, 0.3333, 0.9347)
Cu (0.3333, 0.6667, 0.7500)
Cu (0.6667, 0.3333, 0.2500)

energy relative to the elements: -16 kJ/mol of formula units
SG: P6_3/mmc, No. 194
calculated volume: 22.063 Å³ per atom
DOS at the Fermi energy: 4.353 states/eV/cell

(12)
VASP calculation (GGA-PBEsol) on a relaxed CaMg2Cu crystal.

a b c (Å): 4.1109 4.1109 10.7159
angles (deg): 90.00 90.00 90.00
Atoms (fractional coordinates):
Ca (0.2500, 0.2500, 0.2452)
Ca (0.7500, 0.7500, 0.7548)
Mg (0.2500, 0.2500, 0.9243)
Mg (0.2500, 0.7500, 0.5000)
Mg (0.7500, 0.2500, 0.5000)
Mg (0.7500, 0.7500, 0.0757)
Cu (0.2500, 0.2500, 0.6680)
Cu (0.7500, 0.7500, 0.3320)

energy relative to the elements: -24 kJ/mol of formula units
SG: P4/nmm, No. 129
calculated volume: 22.636 Å³ per atom
DOS at the Fermi energy: 4.413 states/eV/cell